No. 1
Entry from the Open Quantum Materials Database: a relaxed MoI2Br3 crystal (GGA-PBE).

Structure (POSCAR):
```
MoI2Br3
1.0
6.665 0.000 0.000
-3.153 6.505 0.000
-0.292 -3.405 9.397
Mo I Br
2 4 6
direct
0.112 0.220 0.221 Mo
0.888 0.780 0.779 Mo
0.078 0.808 0.553 I
0.259 0.193 0.952 I
0.741 0.807 0.048 I
0.922 0.192 0.447 I
0.109 0.613 0.850 Br
0.307 0.009 0.253 Br
0.448 0.571 0.333 Br
0.552 0.429 0.667 Br
0.693 0.991 0.747 Br
0.891 0.387 0.150 Br
```

Values from the calculation:
Magnetization ... 1.98 Bohr magnetons per cell
Energy relative to the lowest polymorph listed for this composition ... 0.005 eV per atom
Space-group type ... No. 2
Final energy ... -3.458 eV per atom


No. 2
Entry from the Open Quantum Materials Database: a relaxed AcDyTm crystal (GGA-PBE).

Structure (POSCAR):
```
AcDyTm
1.0
7.972 0.000 0.000
0.000 7.972 0.000
0.000 0.000 7.972
Ac Dy Tm
4 4 4
direct
0.000 0.000 0.000 Ac
0.000 0.500 0.500 Ac
0.500 0.000 0.500 Ac
0.500 0.500 0.000 Ac
0.250 0.250 0.750 Dy
0.250 0.750 0.250 Dy
0.750 0.250 0.250 Dy
0.750 0.750 0.750 Dy
0.250 0.250 0.250 Tm
0.250 0.750 0.750 Tm
0.750 0.250 0.750 Tm
0.750 0.750 0.250 Tm
```

Values from the calculation:
Magnetization ... 0.36 Bohr magnetons per cell
Energy relative to the lowest polymorph listed for this composition ... 0.170 eV per atom
Space-group type ... No. 216
Final energy ... -3.543 eV per atom


No. 3
Entry from the Open Quantum Materials Database: a relaxed LaMgSiIr crystal (GGA-PBE).

Structure (POSCAR):
```
LaMgSiIr
1.0
6.727 0.000 0.000
0.000 6.727 0.000
0.000 0.000 6.727
La Mg Si Ir
4 4 4 4
direct
0.000 0.000 0.000 La
0.000 0.500 0.500 La
0.500 0.000 0.500 La
0.500 0.500 0.000 La
0.250 0.250 0.750 Mg
0.250 0.750 0.250 Mg
0.750 0.250 0.250 Mg
0.750 0.750 0.750 Mg
0.250 0.250 0.250 Si
0.250 0.750 0.750 Si
0.750 0.250 0.750 Si
0.750 0.750 0.250 Si
0.000 0.000 0.500 Ir
0.000 0.500 0.000 Ir
0.500 0.000 0.000 Ir
0.500 0.500 0.500 Ir
```

Values from the calculation:
Magnetization ... 0.00 Bohr magnetons per cell
Energy relative to the lowest polymorph listed for this composition ... 0.000 eV per atom
Space-group type ... No. 216
Final energy ... -5.491 eV per atom


No. 4
Entry from the Open Quantum Materials Database: a relaxed TmUCd crystal (GGA-PBE).

Structure (POSCAR):
```
TmUCd
1.0
7.020 0.000 0.000
0.000 7.020 0.000
0.000 0.000 7.020
Tm U Cd
4 4 4
direct
0.000 0.000 0.000 Tm
0.000 0.500 0.500 Tm
0.500 0.000 0.500 Tm
0.500 0.500 0.000 Tm
0.250 0.250 0.250 U
0.250 0.750 0.750 U
0.750 0.250 0.750 U
0.750 0.750 0.250 U
0.250 0.250 0.750 Cd
0.250 0.750 0.250 Cd
0.750 0.250 0.250 Cd
0.750 0.750 0.750 Cd
```

Values from the calculation:
Magnetization ... 13.46 Bohr magnetons per cell
Energy relative to the lowest polymorph listed for this composition ... 0.000 eV per atom
Space-group type ... No. 216
Final energy ... -4.531 eV per atom


No. 5
Entry from the Open Quantum Materials Database: a relaxed LuSc2Nb crystal (GGA-PBE).

Structure (POSCAR):
```
LuSc2Nb
1.0
7.108 0.000 0.000
0.000 7.108 0.000
0.000 0.000 7.108
Lu Sc Nb
4 8 4
direct
0.000 0.000 0.000 Lu
0.000 0.500 0.500 Lu
0.500 0.000 0.500 Lu
0.500 0.500 0.000 Lu
0.000 0.000 0.500 Sc
0.000 0.500 0.000 Sc
0.250 0.250 0.250 Sc
0.250 0.750 0.750 Sc
0.500 0.000 0.000 Sc
0.500 0.500 0.500 Sc
0.750 0.250 0.750 Sc
0.750 0.750 0.250 Sc
0.250 0.250 0.750 Nb
0.250 0.750 0.250 Nb
0.750 0.250 0.250 Nb
0.750 0.750 0.750 Nb
```

Values from the calculation:
Magnetization ... 5.94 Bohr magnetons per cell
Space-group type ... No. 216
Final energy ... -6.568 eV per atom


No. 6
Entry from the Open Quantum Materials Database: a relaxed In2Hg2O5 crystal (GGA-PBE).

Structure (POSCAR):
```
In2Hg2O5
1.0
3.921 0.000 0.000
0.000 3.921 0.000
0.000 0.000 9.016
In Hg O
2 2 5
direct
0.000 0.000 0.000 In
0.000 0.000 0.500 In
0.500 0.500 0.248 Hg
0.500 0.500 0.752 Hg
0.000 0.500 0.137 O
0.000 0.500 0.863 O
0.500 0.000 0.137 O
0.500 0.000 0.863 O
0.500 0.500 0.500 O
```

Values from the calculation:
Energy relative to the lowest polymorph listed for this composition ... 0.287 eV per atom
Space-group type ... No. 123
Final energy ... -3.786 eV per atom


No. 7
Entry from the Open Quantum Materials Database: a relaxed NbSiNi crystal (GGA-PBE).

Structure (POSCAR):
```
NbSiNi
1.0
4.019 0.000 0.000
-2.009 3.481 0.000
0.000 0.000 5.965
Nb Si Ni
2 2 2
direct
0.000 0.000 0.000 Nb
0.000 0.000 0.500 Nb
0.333 0.667 0.238 Si
0.667 0.333 0.738 Si
0.333 0.667 0.809 Ni
0.667 0.333 0.309 Ni
```

Values from the calculation:
Magnetization ... 0.01 Bohr magnetons per cell
Space-group type ... No. 186
Final energy ... -7.589 eV per atom


No. 8
Entry from the Open Quantum Materials Database: a relaxed ScNiSnPt crystal (GGA-PBE).

Structure (POSCAR):
```
ScNiSnPt
1.0
6.486 0.000 0.000
0.000 6.486 0.000
0.000 0.000 6.486
Sc Ni Sn Pt
4 4 4 4
direct
0.000 0.000 0.000 Sc
0.000 0.500 0.500 Sc
0.500 0.000 0.500 Sc
0.500 0.500 0.000 Sc
0.000 0.000 0.500 Ni
0.000 0.500 0.000 Ni
0.500 0.000 0.000 Ni
0.500 0.500 0.500 Ni
0.250 0.250 0.250 Sn
0.250 0.750 0.750 Sn
0.750 0.250 0.750 Sn
0.750 0.750 0.250 Sn
0.250 0.250 0.750 Pt
0.250 0.750 0.250 Pt
0.750 0.250 0.250 Pt
0.750 0.750 0.750 Pt
```

Values from the calculation:
Magnetization ... 0.04 Bohr magnetons per cell
Energy relative to the lowest polymorph listed for this composition ... 0.239 eV per atom
Space-group type ... No. 216
Final energy ... -5.988 eV per atom


No. 9
Entry from the Open Quantum Materials Database: a relaxed Li4Cu2SiPb crystal (GGA-PBE).

Structure (POSCAR):
```
Li4Cu2SiPb
1.0
4.213 0.000 0.000
0.000 4.213 0.000
0.000 0.000 6.366
Li Cu Si Pb
4 2 1 1
direct
0.000 0.000 0.000 Li
0.000 0.500 0.719 Li
0.500 0.000 0.281 Li
0.500 0.500 0.500 Li
0.000 0.500 0.293 Cu
0.500 0.000 0.707 Cu
0.000 0.000 0.500 Si
0.500 0.500 0.000 Pb
```

Values from the calculation:
Space-group type ... No. 115
Final energy ... -3.260 eV per atom


No. 10
Entry from the Open Quantum Materials Database: a relaxed CsLuAu crystal (GGA-PBE).

Structure (POSCAR):
```
CsLuAu
1.0
7.627 0.000 0.000
0.000 7.627 0.000
0.000 0.000 7.627
Cs Lu Au
4 4 4
direct
0.000 0.000 0.000 Cs
0.000 0.500 0.500 Cs
0.500 0.000 0.500 Cs
0.500 0.500 0.000 Cs
0.000 0.000 0.500 Lu
0.000 0.500 0.000 Lu
0.500 0.000 0.000 Lu
0.500 0.500 0.500 Lu
0.250 0.250 0.250 Au
0.250 0.750 0.750 Au
0.750 0.250 0.750 Au
0.750 0.750 0.250 Au
```

Values from the calculation:
Magnetization ... 0.09 Bohr magnetons per cell
Energy relative to the lowest polymorph listed for this composition ... 0.000 eV per atom
Space-group type ... No. 216
Final energy ... -2.560 eV per atom


No. 11
Entry from the Open Quantum Materials Database: a relaxed ReNiHg2 crystal (GGA-PBE).

Structure (POSCAR):
```
ReNiHg2
1.0
6.500 0.000 0.000
0.000 6.500 0.000
0.000 0.000 6.500
Re Ni Hg
4 4 8
direct
0.000 0.000 0.000 Re
0.000 0.500 0.500 Re
0.500 0.000 0.500 Re
0.500 0.500 0.000 Re
0.250 0.250 0.750 Ni
0.250 0.750 0.250 Ni
0.750 0.250 0.250 Ni
0.750 0.750 0.750 Ni
0.000 0.000 0.500 Hg
0.000 0.500 0.000 Hg
0.250 0.250 0.250 Hg
0.250 0.750 0.750 Hg
0.500 0.000 0.000 Hg
0.500 0.500 0.500 Hg
0.750 0.250 0.750 Hg
0.750 0.750 0.250 Hg
```

Values from the calculation:
Magnetization ... 9.20 Bohr magnetons per cell
Space-group type ... No. 216
Final energy ... -3.705 eV per atom


No. 12
Entry from the Open Quantum Materials Database: a relaxed BaNaBiPt crystal (GGA-PBE).

Structure (POSCAR):
```
BaNaBiPt
1.0
7.500 0.000 0.000
0.000 7.500 0.000
0.000 0.000 7.500
Ba Na Bi Pt
4 4 4 4
direct
0.000 0.000 0.000 Ba
0.000 0.500 0.500 Ba
0.500 0.000 0.500 Ba
0.500 0.500 0.000 Ba
0.250 0.250 0.750 Na
0.250 0.750 0.250 Na
0.750 0.250 0.250 Na
0.750 0.750 0.750 Na
0.000 0.000 0.500 Bi
0.000 0.500 0.000 Bi
0.500 0.000 0.000 Bi
0.500 0.500 0.500 Bi
0.250 0.250 0.250 Pt
0.250 0.750 0.750 Pt
0.750 0.250 0.750 Pt
0.750 0.750 0.250 Pt
```

Values from the calculation:
Magnetization ... 0.00 Bohr magnetons per cell
Energy relative to the lowest polymorph listed for this composition ... 0.000 eV per atom
Space-group type ... No. 216
Final energy ... -3.771 eV per atom


No. 13
Entry from the Open Quantum Materials Database: a relaxed Zr9Re4B crystal (GGA-PBE).

Structure (POSCAR):
```
Zr9Re4B
1.0
8.497 0.000 0.000
-4.249 7.359 0.000
0.000 0.000 8.673
Zr Re B
18 8 2
direct
0.079 0.539 0.250 Zr
0.201 0.403 0.555 Zr
0.201 0.403 0.945 Zr
0.201 0.799 0.555 Zr
0.201 0.799 0.945 Zr
0.403 0.201 0.055 Zr
0.403 0.201 0.445 Zr
0.461 0.539 0.250 Zr
0.461 0.921 0.250 Zr
0.539 0.079 0.750 Zr
0.539 0.461 0.750 Zr
0.597 0.799 0.555 Zr
0.597 0.799 0.945 Zr
0.799 0.201 0.055 Zr
0.799 0.201 0.445 Zr
0.799 0.597 0.055 Zr
0.799 0.597 0.445 Zr
0.921 0.461 0.750 Zr
0.000 0.000 0.000 Re
0.000 0.000 0.500 Re
0.108 0.215 0.250 Re
0.108 0.892 0.250 Re
0.215 0.108 0.750 Re
0.785 0.892 0.250 Re
0.892 0.108 0.750 Re
0.892 0.785 0.750 Re
0.333 0.667 0.750 B
0.667 0.333 0.250 B
```

Values from the calculation:
Magnetization ... 0.00 Bohr magnetons per cell
Space-group type ... No. 194
Final energy ... -9.787 eV per atom


No. 14
Entry from the Open Quantum Materials Database: a relaxed CsPmTh crystal (GGA-PBE).

Structure (POSCAR):
```
CsPmTh
1.0
7.845 0.000 0.000
0.000 7.845 0.000
0.000 0.000 7.845
Cs Pm Th
4 4 4
direct
0.000 0.000 0.000 Cs
0.000 0.500 0.500 Cs
0.500 0.000 0.500 Cs
0.500 0.500 0.000 Cs
0.250 0.250 0.750 Pm
0.250 0.750 0.250 Pm
0.750 0.250 0.250 Pm
0.750 0.750 0.750 Pm
0.250 0.250 0.250 Th
0.250 0.750 0.750 Th
0.750 0.250 0.750 Th
0.750 0.750 0.250 Th
```

Values from the calculation:
Magnetization ... 0.04 Bohr magnetons per cell
Space-group type ... No. 216
Final energy ... -2.903 eV per atom


No. 15
Entry from the Open Quantum Materials Database: a relaxed Hf3Mo3As2P crystal (GGA-PBE).

Structure (POSCAR):
```
Hf3Mo3As2P
1.0
7.065 0.000 0.000
-3.532 6.118 0.000
0.000 0.000 3.435
Hf Mo As P
3 3 2 1
direct
0.000 0.605 0.000 Hf
0.395 0.395 0.000 Hf
0.605 0.000 0.000 Hf
0.000 0.249 0.500 Mo
0.249 0.000 0.500 Mo
0.751 0.751 0.500 Mo
0.333 0.667 0.500 As
0.667 0.333 0.500 As
0.000 0.000 0.000 P
```

Values from the calculation:
Magnetization ... 0.00 Bohr magnetons per cell
Space-group type ... No. 189
Final energy ... -9.384 eV per atom


No. 16
Entry from the Open Quantum Materials Database: a relaxed PrReB4 crystal (GGA-PBE).

Structure (POSCAR):
```
PrReB4
1.0
3.184 0.000 0.000
0.000 5.492 0.000
0.000 0.000 7.441
Pr Re B
2 2 8
direct
0.000 0.000 0.000 Pr
0.500 0.500 0.500 Pr
0.000 0.000 0.500 Re
0.500 0.500 0.000 Re
0.000 0.339 0.244 B
0.000 0.339 0.756 B
0.000 0.661 0.244 B
0.000 0.661 0.756 B
0.500 0.161 0.256 B
0.500 0.161 0.744 B
0.500 0.839 0.256 B
0.500 0.839 0.744 B
```

Values from the calculation:
Magnetization ... 0.00 Bohr magnetons per cell
Energy relative to the lowest polymorph listed for this composition ... 0.172 eV per atom
Space-group type ... No. 71
Final energy ... -7.252 eV per atom


No. 17
Entry from the Open Quantum Materials Database: a relaxed MgFe2Pb2 crystal (GGA-PBE).

Structure (POSCAR):
```
MgFe2Pb2
1.0
2.365 -4.010 0.000
2.365 4.010 0.000
0.000 0.000 10.729
Mg Fe Pb
2 4 4
direct
0.151 0.849 0.750 Mg
0.849 0.151 0.250 Mg
0.483 0.517 0.645 Fe
0.483 0.517 0.855 Fe
0.517 0.483 0.145 Fe
0.517 0.483 0.355 Fe
0.181 0.819 0.094 Pb
0.181 0.819 0.406 Pb
0.819 0.181 0.594 Pb
0.819 0.181 0.906 Pb
```

Values from the calculation:
Magnetization ... 8.86 Bohr magnetons per cell
Space-group type ... No. 63
Final energy ... -4.711 eV per atom


No. 18
Entry from the Open Quantum Materials Database: a relaxed PrTlW crystal (GGA-PBE).

Structure (POSCAR):
```
PrTlW
1.0
7.178 0.000 0.000
0.000 7.178 0.000
0.000 0.000 7.178
Pr Tl W
4 4 4
direct
0.000 0.000 0.000 Pr
0.000 0.500 0.500 Pr
0.500 0.000 0.500 Pr
0.500 0.500 0.000 Pr
0.250 0.250 0.750 Tl
0.250 0.750 0.250 Tl
0.750 0.250 0.250 Tl
0.750 0.750 0.750 Tl
0.250 0.250 0.250 W
0.250 0.750 0.750 W
0.750 0.250 0.750 W
0.750 0.750 0.250 W
```

Values from the calculation:
Magnetization ... 11.98 Bohr magnetons per cell
Energy relative to the lowest polymorph listed for this composition ... 0.410 eV per atom
Space-group type ... No. 216
Final energy ... -5.181 eV per atom


No. 19
Entry from the Open Quantum Materials Database: a relaxed AlFeGe crystal (GGA-PBE).

Structure (POSCAR):
```
AlFeGe
1.0
5.642 0.000 0.000
0.000 5.642 0.000
0.000 0.000 5.642
Al Fe Ge
4 4 4
direct
0.000 0.000 0.000 Al
0.000 0.500 0.500 Al
0.500 0.000 0.500 Al
0.500 0.500 0.000 Al
0.250 0.250 0.250 Fe
0.250 0.750 0.750 Fe
0.750 0.250 0.750 Fe
0.750 0.750 0.250 Fe
0.000 0.000 0.500 Ge
0.000 0.500 0.000 Ge
0.500 0.000 0.000 Ge
0.500 0.500 0.500 Ge
```

Values from the calculation:
Magnetization ... 2.14 Bohr magnetons per cell
Space-group type ... No. 216
Final energy ... -5.618 eV per atom


No. 20
Entry from the Open Quantum Materials Database: a relaxed HfZrGa2Au2 crystal (GGA-PBE).

Structure (POSCAR):
```
HfZrGa2Au2
1.0
8.891 0.000 0.000
0.000 4.445 0.000
-4.444 0.000 12.576
Hf Zr Ga Au
4 4 8 8
direct
0.000 0.000 0.000 Hf
0.125 0.500 0.750 Hf
0.374 0.500 0.249 Hf
0.875 0.500 0.249 Hf
0.249 0.000 0.499 Zr
0.499 0.000 0.999 Zr
0.624 0.500 0.749 Zr
0.749 0.000 0.499 Zr
0.124 0.000 0.249 Ga
0.249 0.500 0.000 Ga
0.374 0.000 0.750 Ga
0.499 0.500 0.499 Ga
0.624 0.000 0.249 Ga
0.750 0.500 0.000 Ga
0.875 0.000 0.750 Ga
0.999 0.500 0.499 Ga
0.062 0.500 0.124 Au
0.185 0.000 0.874 Au
0.310 0.500 0.625 Au
0.436 0.000 0.372 Au
0.563 0.500 0.126 Au
0.690 0.000 0.876 Au
0.815 0.500 0.625 Au
0.936 0.000 0.372 Au
```

Values from the calculation:
Magnetization ... 0.01 Bohr magnetons per cell
Energy relative to the lowest polymorph listed for this composition ... 0.060 eV per atom
Space-group type ... No. 6
Final energy ... -5.691 eV per atom